--- 1 ---
TaNb2Co, optimized geometry, DFT PBE; SG = No. 11; total moment = 0.00 μB per formula unit
1.0
3.070 -0.163 0.000
-1.796 5.136 0.000
0.000 0.000 8.613
Nb Ta Co
4 2 2
Cartesian
-0.063 3.732 4.699 Nb
1.337 1.241 0.392 Nb
-0.063 3.732 8.220 Nb
1.337 1.241 3.914 Nb
-0.036 0.786 6.459 Ta
1.310 4.187 2.153 Ta
-0.181 2.242 2.153 Co
1.455 2.731 6.459 Co

***

--- 2 ---
TaNb2Co, optimized geometry, DFT PBE; SG = No. 225; total moment = 0.00 μB per formula unit
1.0
1.433 0.051 4.283
-2.317 -2.214 3.183
1.719 -3.744 1.851
Ta Nb Co
1 2 1
Cartesian
0.418 -2.954 4.658 Ta
0.209 -1.477 2.329 Nb
0.626 -4.431 6.988 Nb
0.000 0.000 0.000 Co

***

Of them, 1 has the highest stability.